Entry from the Alexandria database: a relaxed CrTcF2 crystal (PBE with a Hubbard U).

Output
final energy: -5.4189 eV/atom
distance to the lowest polymorph of the same formula: 821 meV/atom
crystal system: trigonal

Cell lengths 2.6207, 2.6207, 23.9379 Å; angles 90.00, 90.00, 120.00 degrees
Space group R-3m (No. 166, hexagonal axes)
One atom of each set of equivalent atoms:
Cr1 0.0000 0.0000 0.0000
Tc1 0.0000 0.0000 0.5000
F1 0.0000 0.0000 0.0776